Arrangement 1

First-principles (PBE) data for a geometry-optimized Mn2Re2Rh structure, as listed in Alexandria via LeMat-Bulk.

Fermi-level density of states	8.541	states/eV/cell
ρ	14.47	g/cm3

```
data_Mn2Re2Rh
_chemical_formula_sum 'Mn4 Re4 Rh2'
_symmetry_space_group_name_H-M 'P 4/m b m'
_symmetry_Int_Tables_number 127
_symmetry_space_group_name_Hall '-P 4 2ab'
_cell_length_a 6.957
_cell_length_b 6.957
_cell_length_c 2.776
_cell_angle_alpha 90.00
_cell_angle_beta 90.00
_cell_angle_gamma 90.00
loop_
_atom_site_label
_atom_site_fract_x
_atom_site_fract_y
_atom_site_fract_z
Mn1 0.131 0.369 0.000
Re1 0.168 0.668 0.500
Rh1 0.000 0.000 0.000
```

=====

Arrangement 2

First-principles (PBE) data for a geometry-optimized Mn2Re2Rh structure, as listed in Alexandria via LeMat-Bulk.

Fermi-level density of states	8.552	states/eV/cell
ρ	13.15	g/cm3

```
data_Mn2Re2Rh
_chemical_formula_sum 'Mn4 Re4 Rh2'
_symmetry_space_group_name_H-M 'I 4/m m m'
_symmetry_Int_Tables_number 139
_symmetry_space_group_name_Hall '-I 4 2'
_cell_length_a 3.987
_cell_length_b 3.987
_cell_length_c 9.300
_cell_angle_alpha 90.00
_cell_angle_beta 90.00
_cell_angle_gamma 90.00
loop_
_atom_site_label
_atom_site_fract_x
_atom_site_fract_y
_atom_site_fract_z
Mn1 0.000 0.000 0.112
Re1 0.000 0.500 0.250
Rh1 0.000 0.000 0.500
```

=====

What should be chosen as the least stable of them? Choose arrangement 2.

=====

Arrangement 1

First-principles (PBE) data for a geometry-optimized MnReRu2 structure, as listed in Alexandria via LeMat-Bulk.

Fermi-level density of states	8.820	states/eV/cell
ρ	13.13	g/cm3

```
data_MnReRu2
_chemical_formula_sum 'Mn2 Re2 Ru4'
_symmetry_space_group_name_H-M 'I m m 2'
_symmetry_Int_Tables_number 44
_cell_length_a 2.908
_cell_length_b 4.340
_cell_length_c 8.883
_cell_angle_alpha 90.00
_cell_angle_beta 90.00
_cell_angle_gamma 90.00
loop_
_symmetry_equiv_pos_as_xyz
'x,y,z'
'-x,-y,z'
'-x,y,z'
'x,-y,z'
'x+1/2,y+1/2,z+1/2'
'-x+1/2,-y+1/2,z+1/2'
'-x+1/2,y+1/2,z+1/2'
'x+1/2,-y+1/2,z+1/2'
loop_
_atom_site_label
_atom_site_fract_x
_atom_site_fract_y
_atom_site_fract_z
Mn1 0.000 0.000 0.000
Re1 0.000 0.500 0.729
Ru1 0.000 0.000 0.493
Ru2 0.000 0.500 0.271
```

=====

Arrangement 2

First-principles (PBE) data for a geometry-optimized MnReRu2 structure, as listed in Alexandria via LeMat-Bulk.

Fermi-level density of states	8.001	states/eV/cell
ρ	13.42	g/cm3

```
data_MnReRu2
_chemical_formula_sum 'Mn2 Re2 Ru4'
_symmetry_space_group_name_H-M 'C 1 2/m 1'
_symmetry_Int_Tables_number 12
_cell_length_a 8.877
_cell_length_b 2.692
_cell_length_c 4.659
_cell_angle_alpha 90.00
_cell_angle_beta 99.84
_cell_angle_gamma 90.00
loop_
_symmetry_equiv_pos_as_xyz
'x,y,z'
'-x,-y,-z'
'-x,y,-z'
'x,-y,z'
'x+1/2,y+1/2,z'
'-x+1/2,-y+1/2,-z'
'-x+1/2,y+1/2,-z'
'x+1/2,-y+1/2,z'
loop_
_atom_site_label
_atom_site_fract_x
_atom_site_fract_y
_atom_site_fract_z
Mn1 0.000 0.000 0.000
Re1 0.000 0.500 0.500
Ru1 0.249 0.500 0.247
```

=====

Arrangement 3

First-principles (PBE) data for a geometry-optimized MnReRu2 structure, as listed in Alexandria via LeMat-Bulk.

Fermi-level density of states	3.811	states/eV/cell
ρ	13.56	g/cm3

```
data_MnReRu2
_chemical_formula_sum 'Mn1 Re1 Ru2'
_symmetry_space_group_name_H-M 'P 4 m m'
_symmetry_Int_Tables_number 99
_cell_length_a 2.689
_cell_length_b 2.689
_cell_length_c 7.509
_cell_angle_alpha 90.00
_cell_angle_beta 90.00
_cell_angle_gamma 90.00
loop_
_symmetry_equiv_pos_as_xyz
'x,y,z'
'-y,x,z'
'-x,-y,z'
'y,-x,z'
'-x,y,z'
'y,x,z'
'x,-y,z'
'-y,-x,z'
loop_
_atom_site_label
_atom_site_fract_x
_atom_site_fract_y
_atom_site_fract_z
Mn1 0.000 0.000 0.000
Re1 0.500 0.500 0.248
Ru1 0.000 0.000 0.506
Ru2 0.500 0.500 0.770
```

=====

What should be chosen as the least stable of them? Choose arrangement 1.